Compound: SrNb2Ge
Source: Alexandria
Functional: PBE
Structure: optimized geometry

Lattice parameters (Å, degrees): 4.6743 4.6743 10.3792 76.99 76.99 90.00
Last column: nearest neighbours and their distance in Å.
Element x y z (fractional)
Sr 0.0000 0.0000 0.0000  4 Ge 3.31, 4 Nb 3.36
Sr 0.7500 0.2500 0.5000  4 Ge 3.31, 4 Nb 3.36
Nb 0.4536 0.1250 0.2500  2 Nb 2.45
Nb 0.2964 0.6250 0.2500  2 Nb 2.45
Nb 0.3750 0.5464 0.7500  2 Nb 2.45
Nb 0.8750 0.7036 0.7500  2 Nb 2.45
Ge 0.5000 0.5000 0.0000  4 Nb 2.75
Ge 0.2500 0.7500 0.5000  4 Nb 2.75

As for the space group: No. 122. The formation energy comes out at 525 meV/atom.

=====

Compound: Sc4CuRh
Source: Alexandria
Functional: PBE
Structure: optimized geometry

Lattice parameters (Å, degrees): 5.5101 5.5101 5.5101 60.00 60.00 60.00
Last column: nearest neighbours and their distance in Å.
Element x y z (fractional)
Sc 0.8787 0.3738 0.3738  6 Sc 2.73-2.78
Sc 0.3738 0.3738 0.8787  6 Sc 2.73-2.78
Sc 0.3738 0.8787 0.3738  6 Sc 2.73-2.78
Sc 0.3738 0.3738 0.3738  6 Sc 2.73-2.78
Cu 0.7500 0.7500 0.7500  12 Sc 3.23, 4 Rh 3.37
Rh 0.0000 0.0000 0.0000  12 Sc 3.23, 4 Cu 3.37

The energy above the lowest structure with this stoichiometry comes out at 850.1 meV per atom. As for the space group: No. 216. The formation energy comes out at 395 meV/atom.

=====

Compound: LiAsIr
Source: Alexandria
Functional: PBE
Structure: optimized geometry

Lattice parameters (Å, degrees): 2.9312 2.9312 6.3052 90.00 90.00 120.00
Last column: nearest neighbours and their distance in Å.
Element x y z (fractional)
As 0.0000 0.0000 0.0224  3 Ir 2.52
Ir 0.6667 0.3333 0.3193  3 As 2.52, 3 Li 2.73
Li 0.3333 0.6667 0.6583  3 Ir 2.73, 3 As 2.85, 6 Li 2.93

As for the space group: No. 156. The formation energy comes out at -118 meV/atom.

=====

Compound: GeMoI3
Source: Alexandria
Functional: PBE
Structure: optimized geometry

Lattice parameters (Å, degrees): 5.6630 5.6630 5.6630 90.00 90.00 90.00
Last column: nearest neighbours and their distance in Å.
Element x y z (fractional)
I 0.0000 0.5000 0.0000  2 Mo 2.83
I 0.0000 0.0000 0.5000  2 Mo 2.83
I 0.5000 0.0000 0.0000  2 Mo 2.83
Mo 0.0000 0.0000 0.0000  6 I 2.83
Ge 0.5000 0.5000 0.5000  12 I 4.00

The energy above the lowest structure with this stoichiometry comes out at 0.0 meV per atom. As for the space group: No. 221. The calculation puts the uncorrected formation energy at 620 meV per atom.

=====

Compound: K2ZnHF6
Source: Alexandria
Functional: PBE
Structure: optimized geometry

Lattice parameters (Å, degrees): 5.1015 6.1403 9.3067 90.00 90.00 90.00
Last column: nearest neighbours and their distance in Å.
Element x y z (fractional)
K 0.5000 0.7773 0.2884  6 F 2.69-2.91
K 0.0000 0.2227 0.7884  6 F 2.69-2.91
K 0.5000 0.7773 0.7116  6 F 2.69-2.91
K 0.0000 0.2227 0.2116  6 F 2.69-2.91
Zn 0.5000 0.2741 0.5000  6 F 1.92-2.12
Zn 0.0000 0.7259 0.0000  6 F 1.92-2.12
H 0.0000 0.5325 0.5000  2 F 1.15
H 0.5000 0.4675 0.0000  2 F 1.15
F 0.5000 0.2779 0.2940  1 Zn 1.92
F 0.5000 0.2779 0.7060  1 Zn 1.92
F 0.0000 0.7221 0.2060  1 Zn 1.92
F 0.0000 0.7221 0.7940  1 Zn 1.92
F 0.2261 0.0428 0.5000  1 Zn 1.99
F 0.7739 0.0428 0.5000  1 Zn 1.99
F 0.2255 0.5327 0.5000  1 H 1.15
F 0.7745 0.5327 0.5000  1 H 1.15
F 0.7255 0.4673 0.0000  1 H 1.15
F 0.2745 0.4673 0.0000  1 H 1.15
F 0.2739 0.9572 0.0000  1 Zn 1.99
F 0.7261 0.9572 0.0000  1 Zn 1.99

As for the space group: No. 59. As for the total energy: -3.98 eV per atom.

=====

Compound: Sm8CdC4
Source: Alexandria
Functional: PBE
Structure: optimized geometry

Lattice parameters (Å, degrees): 3.6877 9.2674 9.4768 83.68 78.78 78.52
Last column: nearest neighbours and their distance in Å.
Element x y z (fractional)
Sm 0.1539 0.3208 0.3714  3 C 2.55-2.61
Sm 0.5586 0.6455 0.2374  3 C 2.54-2.63
Sm 0.4730 0.3579 0.6962  3 C 2.54-2.63
Sm 0.8778 0.6822 0.5621  3 C 2.55-2.61
Sm 0.8542 0.9855 0.3061  3 C 2.51-2.54
Sm 0.2143 0.6630 0.9084  3 C 2.51-2.56
Sm 0.1771 0.0178 0.6279  3 C 2.51-2.54
Sm 0.8172 0.3405 0.0252  3 C 2.51-2.56
Cd 0.5154 0.0021 0.9670  10 Sm 3.65-3.95, 2 Cd 3.69
C 0.3634 0.8368 0.4365  6 Sm 2.51-2.63
C 0.8446 0.5109 0.7999  6 Sm 2.51-2.61
C 0.1868 0.4927 0.1337  6 Sm 2.51-2.61
C 0.6680 0.1664 0.4975  6 Sm 2.51-2.63

As for the space group: No. 8. The formation energy comes out at -137 meV/atom.

=====

Compound: CaPm4Dy6
Source: Alexandria
Functional: PBE
Structure: optimized geometry

Lattice parameters (Å, degrees): 8.5685 8.5685 8.5685 80.17 125.83 125.83
Last column: nearest neighbours and their distance in Å.
Element x y z (fractional)
Ca 0.0000 0.0000 0.0000  4 Pm 3.70, 8 Dy 3.89-3.90
Pm 0.0000 0.5620 0.0585  1 Dy 3.21
Pm 0.4965 0.4380 0.4380  1 Dy 3.21
Pm 0.0000 0.0585 0.5620  1 Dy 3.21
Pm 0.5035 0.9415 0.9415  1 Dy 3.21
Dy 0.0000 0.7368 0.4176  4 Dy 3.10-3.21, 1 Pm 3.21
Dy 0.0000 0.4176 0.7368  4 Dy 3.10-3.21, 1 Pm 3.21
Dy 0.3193 0.5824 0.5824  4 Dy 3.10-3.21, 1 Pm 3.21
Dy 0.5000 0.5000 0.0000  4 Dy 3.10
Dy 0.6807 0.2632 0.2632  4 Dy 3.10-3.21, 1 Pm 3.21
Dy 0.5000 0.0000 0.5000  4 Dy 3.10

As for the space group: No. 121. The formation energy comes out at 379 meV/atom.

=====

Compound: LaTlPd6
Source: Alexandria
Functional: PBE
Structure: optimized geometry

Lattice parameters (Å, degrees): 5.2939 5.2939 5.2939 90.00 90.00 90.00
Last column: nearest neighbours and their distance in Å.
Element x y z (fractional)
La 0.5000 0.5000 0.5000  12 Pd 2.97
Tl 0.0000 0.0000 0.0000  12 Pd 2.95
Pd 0.5000 0.7535 0.0000  2 Pd 2.61-2.68
Pd 0.7535 0.0000 0.5000  2 Pd 2.61-2.68
Pd 0.0000 0.5000 0.2465  2 Pd 2.61-2.68
Pd 0.2465 0.0000 0.5000  2 Pd 2.61-2.68
Pd 0.5000 0.2465 0.0000  2 Pd 2.61-2.68
Pd 0.0000 0.5000 0.7535  2 Pd 2.61-2.68

The energy above the lowest structure with this stoichiometry comes out at 186.1 meV per atom. As for the space group: No. 200. The formation energy comes out at -313 meV/atom.

=====

Compound: LaTb6Dy4
Source: Alexandria
Functional: PBE
Structure: optimized geometry

Lattice parameters (Å, degrees): 7.7004 7.7004 8.4854 116.98 116.98 90.00
Last column: nearest neighbours and their distance in Å.
Element x y z (fractional)
La 0.5000 0.5000 0.0000  8 Tb 3.64-3.85, 4 Dy 3.79
Tb 0.9355 0.4403 0.3758  4 Dy 3.20-3.59
Tb 0.4403 0.9355 0.3758  4 Dy 3.20-3.59
Tb 0.5597 0.5597 0.6242  4 Dy 3.20-3.59
Tb 0.0000 0.5000 0.0000  4 Dy 3.04
Tb 0.0645 0.0645 0.6242  4 Dy 3.20-3.59
Tb 0.5000 0.0000 0.0000  4 Dy 3.04
Dy 0.0883 0.7597 0.8480  3 Tb 3.04-3.20, 2 Dy 3.21
Dy 0.9117 0.9117 0.1520  3 Tb 3.04-3.20, 2 Dy 3.21
Dy 0.7597 0.0883 0.8480  3 Tb 3.04-3.20, 2 Dy 3.21
Dy 0.2403 0.2403 0.1520  3 Tb 3.04-3.20, 2 Dy 3.21

As for the space group: No. 121. The formation energy comes out at 419 meV/atom.

=====

Compound: Ho8Er4Zr
Source: Alexandria
Functional: PBE
Structure: optimized geometry

Lattice parameters (Å, degrees): 9.8405 9.8405 9.8405 42.95 42.95 42.95
Last column: nearest neighbours and their distance in Å.
Element x y z (fractional)
Ho 0.7825 0.7825 0.7825  9 Ho 3.60-3.62, 3 Er 3.73
Ho 0.2175 0.2175 0.2175  9 Ho 3.60-3.62, 3 Er 3.73
Ho 0.2538 0.2538 0.8010  1 Zr 2.85
Ho 0.1990 0.7462 0.7462  1 Zr 2.85
Ho 0.7462 0.7462 0.1990  1 Zr 2.85
Ho 0.7462 0.1990 0.7462  1 Zr 2.85
Ho 0.2538 0.8010 0.2538  1 Zr 2.85
Ho 0.8010 0.2538 0.2538  1 Zr 2.85
Er 0.0000 0.0000 0.0000  6 Ho 3.33, 6 Er 3.60
Er 0.5000 0.5000 0.0000  6 Ho 3.51-3.73, 6 Er 3.60
Er 0.5000 0.0000 0.5000  6 Ho 3.51-3.73, 6 Er 3.60
Er 0.0000 0.5000 0.5000  6 Ho 3.51-3.73, 6 Er 3.60
Zr 0.5000 0.5000 0.5000  6 Ho 2.85

As for the space group: No. 166. The formation energy comes out at 212 meV/atom.

=====

Compound: SrNd2Rh
Source: Alexandria
Functional: PBE
Structure: optimized geometry

Lattice parameters (Å, degrees): 3.6387 3.6387 9.9950 90.00 90.00 90.00
Last column: nearest neighbours and their distance in Å.
Element x y z (fractional)
Rh 0.5000 0.5000 0.0000  8 Nd 3.05
Nd 0.0000 0.0000 0.8356  4 Rh 3.05, 1 Nd 3.29
Nd 0.0000 0.0000 0.1644  4 Rh 3.05, 1 Nd 3.29
Sr 0.5000 0.5000 0.5000  4 Sr 3.64

The energy above the lowest structure with this stoichiometry comes out at 84.8 meV per atom. As for the space group: No. 123. The formation energy comes out at -258 meV/atom.

=====

Compound: ErCdF5
Source: Alexandria
Functional: PBE
Structure: optimized geometry

Lattice parameters (Å, degrees): 5.8972 5.8972 7.7111 71.80 71.80 74.96
Last column: nearest neighbours and their distance in Å.
Element x y z (fractional)
Er 0.5436 0.4564 0.2500  5 F 2.12-2.22
Er 0.4564 0.5436 0.7500  5 F 2.12-2.22
Cd 0.0000 0.0000 0.0000  6 F 2.19-2.38
Cd 0.0000 0.0000 0.5000  6 F 2.19-2.38
F 0.7766 0.7165 0.1353  1 Er 2.12, 1 Cd 2.19
F 0.3208 0.6648 0.4593  2 Er 2.22-2.45, 1 Cd 2.38
F 0.7165 0.7766 0.6353  1 Er 2.12, 1 Cd 2.19
F 0.8515 0.1485 0.2500  2 Cd 2.20, 1 Er 2.21
F 0.3352 0.6792 0.0407  2 Er 2.22-2.45, 1 Cd 2.38
F 0.6648 0.3208 0.9593  2 Er 2.22-2.45, 1 Cd 2.38
F 0.1485 0.8515 0.7500  2 Cd 2.20, 1 Er 2.21
F 0.2835 0.2234 0.3647  1 Er 2.12, 1 Cd 2.19
F 0.6792 0.3352 0.5407  2 Er 2.22-2.45, 1 Cd 2.38
F 0.2234 0.2835 0.8647  1 Er 2.12, 1 Cd 2.19

As for the space group: No. 15. The calculation puts the uncorrected formation energy at -3276 meV per atom.